{"formula": "Tb5Sm2Th3", "functional": "GGA-PBE", "state": "relaxed", "mass_density_g_cm3": 9.17, "formation_energy_ev_per_atom": 0.04, "crystal_system": "monoclinic", "spacegroup": "No. 12", "dos_ef_per_ev_fu": 13.87, "cell": [[5.663, -2.527, 0.000], [5.663, 2.527, 0.000], [-0.028, 0.000, 11.338]], "species": ["Tb", "Tb", "Tb", "Tb", "Tb", "Sm", "Sm", "Th", "Th", "Th"], "fractional_positions": [[0.000, 0.000, 0.000], [0.200, 0.200, 0.598], [0.301, 0.301, 0.897], [0.699, 0.699, 0.103], [0.800, 0.800, 0.402], [0.403, 0.403, 0.203], [0.597, 0.597, 0.797], [0.099, 0.099, 0.301], [0.500, 0.500, 0.500], [0.901, 0.901, 0.699]]}



{"formula": "Tb3Sm6Th2", "functional": "GGA-PBE", "state": "relaxed", "mass_density_g_cm3": 8.42, "formation_energy_ev_per_atom": 0.02, "crystal_system": "trigonal", "spacegroup": "No. 166", "dos_ef_per_ev_fu": 16.17, "cell": [[1.801, 1.040, 32.325], [-1.801, 1.040, 32.325], [0.000, -2.080, 32.325]], "species": ["Tb", "Tb", "Tb", "Sm", "Sm", "Sm", "Sm", "Sm", "Sm", "Th", "Th"], "fractional_positions": [[0.000, 0.000, 0.000], [0.273, 0.273, 0.273], [0.727, 0.727, 0.727], [0.091, 0.091, 0.091], [0.183, 0.183, 0.183], [0.364, 0.364, 0.364], [0.636, 0.636, 0.636], [0.817, 0.817, 0.817], [0.909, 0.909, 0.909], [0.454, 0.454, 0.454], [0.546, 0.546, 0.546]]}



{"formula": "Tb5Sm2Th5", "functional": "GGA-PBE", "state": "relaxed", "mass_density_g_cm3": 9.63, "formation_energy_ev_per_atom": 0.05, "crystal_system": "monoclinic", "spacegroup": "No. 12", "dos_ef_per_ev_fu": 17.60, "cell": [[7.586, -2.529, 0.000], [7.586, 2.529, 0.000], [-5.063, 0.000, 10.142]], "species": ["Tb", "Tb", "Tb", "Tb", "Tb", "Sm", "Sm", "Th", "Th", "Th", "Th", "Th"], "fractional_positions": [[0.000, 0.000, 0.000], [0.085, 0.085, 0.748], [0.168, 0.168, 0.505], [0.832, 0.832, 0.495], [0.915, 0.915, 0.252], [0.416, 0.416, 0.751], [0.584, 0.584, 0.249], [0.251, 0.251, 0.247], [0.330, 0.330, 0.998], [0.500, 0.500, 0.500], [0.670, 0.670, 0.002], [0.749, 0.749, 0.753]]}



{"formula": "Tb2Sm2Th3", "functional": "GGA-PBE", "state": "relaxed", "mass_density_g_cm3": 9.42, "formation_energy_ev_per_atom": 0.08, "crystal_system": "orthorhombic", "spacegroup": "No. 65", "dos_ef_per_ev_fu": 10.62, "cell": [[1.771, -18.441, 0.000], [1.771, 18.441, 0.000], [0.000, 0.000, 3.546]], "species": ["Tb", "Tb", "Sm", "Sm", "Th", "Th", "Th"], "fractional_positions": [[0.138, 0.862, 0.000], [0.862, 0.138, 0.000], [0.292, 0.708, 0.500], [0.708, 0.292, 0.500], [0.000, 0.000, 0.000], [0.431, 0.569, 0.500], [0.569, 0.431, 0.500]]}



{"formula": "Tb8Sm4Th", "functional": "GGA-PBE", "state": "relaxed", "mass_density_g_cm3": 7.35, "formation_energy_ev_per_atom": 0.51, "crystal_system": "trigonal", "spacegroup": "No. 166", "dos_ef_per_ev_fu": 23.49, "cell": [[5.524, 3.189, 4.498], [-5.524, 3.189, 4.498], [0.000, -6.379, 4.498]], "species": ["Tb", "Tb", "Tb", "Tb", "Tb", "Tb", "Tb", "Tb", "Sm", "Sm", "Sm", "Sm", "Th"], "fractional_positions": [[0.240, 0.240, 0.758], [0.240, 0.758, 0.240], [0.241, 0.241, 0.241], [0.242, 0.760, 0.760], [0.758, 0.240, 0.240], [0.759, 0.759, 0.759], [0.760, 0.242, 0.760], [0.760, 0.760, 0.242], [0.000, 0.000, 0.000], [0.000, 0.500, 0.500], [0.500, 0.000, 0.500], [0.500, 0.500, 0.000], [0.500, 0.500, 0.500]]}



{"formula": "TbSm2Th4", "functional": "GGA-PBE", "state": "relaxed", "mass_density_g_cm3": 9.92, "formation_energy_ev_per_atom": 0.08, "crystal_system": "orthorhombic", "spacegroup": "No. 65", "dos_ef_per_ev_fu": 10.50, "cell": [[1.790, -18.147, 0.000], [1.790, 18.147, 0.000], [0.000, 0.000, 3.577]], "species": ["Tb", "Sm", "Sm", "Th", "Th", "Th", "Th"], "fractional_positions": [[0.000, 0.000, 0.000], [0.294, 0.706, 0.500], [0.706, 0.294, 0.500], [0.138, 0.862, 0.000], [0.429, 0.571, 0.500], [0.571, 0.429, 0.500], [0.862, 0.138, 0.000]]}



{"formula": "Tb4Sm2Th5", "functional": "GGA-PBE", "state": "relaxed", "mass_density_g_cm3": 9.69, "formation_energy_ev_per_atom": 0.14, "crystal_system": "monoclinic", "spacegroup": "No. 10", "dos_ef_per_ev_fu": 17.70, "cell": [[8.838, 0.000, 0.000], [0.000, 3.473, 0.000], [-0.875, 0.000, 11.703]], "species": ["Tb", "Tb", "Tb", "Tb", "Sm", "Sm", "Th", "Th", "Th", "Th", "Th"], "fractional_positions": [[0.159, 0.000, 0.404], [0.302, 0.000, 0.945], [0.698, 0.000, 0.055], [0.841, 0.000, 0.596], [0.055, 0.500, 0.136], [0.945, 0.500, 0.864], [0.206, 0.500, 0.676], [0.423, 0.500, 0.213], [0.500, 0.500, 0.500], [0.577, 0.500, 0.787], [0.794, 0.500, 0.324]]}



{"formula": "Tb3Sm3Th2", "functional": "GGA-PBE", "state": "relaxed", "mass_density_g_cm3": 8.83, "de_polymorph_ev_per_atom": 0.011, "formation_energy_ev_per_atom": 0.04, "crystal_system": "triclinic", "spacegroup": "No. 2", "dos_ef_per_ev_fu": 11.51, "cell": [[6.210, 0.000, 0.000], [-2.048, 5.865, 0.000], [-2.073, -2.936, 7.188]], "species": ["Tb", "Tb", "Tb", "Sm", "Sm", "Sm", "Th", "Th"], "fractional_positions": [[0.000, 0.000, 0.000], [0.128, 0.628, 0.256], [0.872, 0.372, 0.744], [0.370, 0.870, 0.741], [0.500, 0.500, 0.000], [0.630, 0.130, 0.259], [0.249, 0.249, 0.498], [0.751, 0.751, 0.502]]}



{"formula": "TbSm14Th", "functional": "GGA-PBE", "state": "relaxed", "mass_density_g_cm3": 7.70, "formation_energy_ev_per_atom": 0.02, "crystal_system": "tetragonal", "spacegroup": "No. 123", "dos_ef_per_ev_fu": 22.09, "cell": [[7.240, 0.000, 0.000], [0.000, 7.240, 0.000], [0.000, 0.000, 10.261]], "species": ["Tb", "Sm", "Sm", "Sm", "Sm", "Sm", "Sm", "Sm", "Sm", "Sm", "Sm", "Sm", "Sm", "Sm", "Sm", "Th"], "fractional_positions": [[0.000, 0.000, 0.000], [0.000, 0.000, 0.500], [0.000, 0.500, 0.000], [0.000, 0.500, 0.500], [0.252, 0.252, 0.248], [0.252, 0.252, 0.752], [0.252, 0.748, 0.248], [0.252, 0.748, 0.752], [0.500, 0.000, 0.000], [0.500, 0.000, 0.500], [0.500, 0.500, 0.500], [0.748, 0.252, 0.248], [0.748, 0.252, 0.752], [0.748, 0.748, 0.248], [0.748, 0.748, 0.752], [0.500, 0.500, 0.000]]}



{"formula": "TbSm12Th7", "functional": "GGA-PBE", "state": "relaxed", "mass_density_g_cm3": 7.72, "formation_energy_ev_per_atom": 0.90, "crystal_system": "cubic", "spacegroup": "No. 204", "dos_ef_per_ev_fu": 43.80, "cell": [[-5.778, 5.778, 5.778], [5.778, -5.778, 5.778], [5.778, 5.778, -5.778]], "species": ["Tb", "Sm", "Sm", "Sm", "Sm", "Sm", "Sm", "Sm", "Sm", "Sm", "Sm", "Sm", "Sm", "Th", "Th", "Th", "Th", "Th", "Th", "Th"], "fractional_positions": [[0.000, 0.000, 0.000], [0.072, 0.770, 0.302], [0.230, 0.302, 0.531], [0.230, 0.698, 0.928], [0.302, 0.072, 0.770], [0.302, 0.531, 0.230], [0.469, 0.770, 0.698], [0.531, 0.230, 0.302], [0.698, 0.469, 0.770], [0.698, 0.928, 0.230], [0.770, 0.302, 0.072], [0.770, 0.698, 0.469], [0.928, 0.230, 0.698], [0.000, 0.000, 0.500], [0.000, 0.500, 0.000], [0.000, 0.500, 0.500], [0.500, 0.000, 0.000], [0.500, 0.000, 0.500], [0.500, 0.500, 0.000], [0.500, 0.500, 0.500]]}



{"formula": "Tb2SmTh", "functional": "GGA-PBE", "state": "relaxed", "mass_density_g_cm3": 8.98, "de_polymorph_ev_per_atom": 0.049, "formation_energy_ev_per_atom": 0.04, "crystal_system": "tetragonal", "spacegroup": "No. 123", "dos_ef_per_ev_fu": 5.15, "cell": [[5.072, 0.000, 0.000], [0.000, 5.072, 0.000], [0.000, 0.000, 5.035]], "species": ["Tb", "Tb", "Sm", "Th"], "fractional_positions": [[0.000, 0.500, 0.000], [0.500, 0.000, 0.000], [0.000, 0.000, 0.500], [0.500, 0.500, 0.500]]}



{"formula": "TbSm7Th3", "functional": "GGA-PBE", "state": "relaxed", "mass_density_g_cm3": 8.25, "formation_energy_ev_per_atom": 0.22, "crystal_system": "trigonal", "spacegroup": "No. 156", "dos_ef_per_ev_fu": 16.27, "cell": [[7.159, 0.000, 0.000], [-3.579, 6.200, 0.000], [0.000, 0.000, 8.649]], "species": ["Tb", "Sm", "Sm", "Sm", "Sm", "Sm", "Sm", "Sm", "Th", "Th", "Th"], "fractional_positions": [[0.000, 0.000, 0.000], [0.003, 0.501, 0.003], [0.330, 0.165, 0.347], [0.333, 0.667, 0.352], [0.499, 0.501, 0.003], [0.499, 0.997, 0.003], [0.835, 0.165, 0.347], [0.835, 0.670, 0.347], [0.166, 0.332, 0.676], [0.166, 0.834, 0.676], [0.668, 0.834, 0.676]]}



{"formula": "Tb3Sm2Th4", "functional": "GGA-PBE", "state": "relaxed", "mass_density_g_cm3": 9.66, "formation_energy_ev_per_atom": 0.04, "crystal_system": "monoclinic", "spacegroup": "No. 12", "dos_ef_per_ev_fu": 12.88, "cell": [[7.608, -2.529, 0.000], [7.608, 2.529, 0.000], [-2.578, 0.000, 7.619]], "species": ["Tb", "Tb", "Tb", "Sm", "Sm", "Th", "Th", "Th", "Th"], "fractional_positions": [[0.000, 0.000, 0.000], [0.116, 0.116, 0.672], [0.884, 0.884, 0.328], [0.440, 0.440, 0.668], [0.560, 0.560, 0.332], [0.223, 0.223, 0.332], [0.330, 0.330, 0.997], [0.670, 0.670, 0.003], [0.777, 0.777, 0.668]]}



{"formula": "Tb2Sm3Th3", "functional": "GGA-PBE", "state": "relaxed", "mass_density_g_cm3": 9.29, "formation_energy_ev_per_atom": 0.06, "crystal_system": "orthorhombic", "spacegroup": "No. 47", "dos_ef_per_ev_fu": 11.39, "cell": [[5.054, 0.000, 0.000], [0.000, 5.103, 0.000], [0.000, 0.000, 10.151]], "species": ["Tb", "Tb", "Sm", "Sm", "Sm", "Th", "Th", "Th"], "fractional_positions": [[0.000, 0.000, 0.247], [0.000, 0.000, 0.753], [0.000, 0.500, 0.500], [0.500, 0.000, 0.000], [0.500, 0.000, 0.500], [0.000, 0.500, 0.000], [0.500, 0.500, 0.247], [0.500, 0.500, 0.753]]}



{"formula": "Tb7Sm2Th2", "functional": "GGA-PBE", "state": "relaxed", "mass_density_g_cm3": 8.60, "formation_energy_ev_per_atom": 0.18, "crystal_system": "monoclinic", "spacegroup": "No. 12", "dos_ef_per_ev_fu": 16.90, "cell": [[5.573, -5.768, 0.000], [5.573, 5.768, 0.000], [-2.421, 0.000, 5.637]], "species": ["Tb", "Tb", "Tb", "Tb", "Tb", "Tb", "Tb", "Sm", "Sm", "Th", "Th"], "fractional_positions": [[0.000, 0.000, 0.000], [0.066, 0.589, 0.831], [0.242, 0.242, 0.581], [0.411, 0.934, 0.169], [0.589, 0.066, 0.831], [0.758, 0.758, 0.419], [0.934, 0.411, 0.169], [0.217, 0.783, 0.500], [0.783, 0.217, 0.500], [0.413, 0.413, 0.190], [0.587, 0.587, 0.810]]}



{"formula": "Tb3Sm2Th", "functional": "GGA-PBE", "state": "relaxed", "mass_density_g_cm3": 8.49, "de_polymorph_ev_per_atom": 0.000, "formation_energy_ev_per_atom": 0.11, "crystal_system": "monoclinic", "spacegroup": "No. 15", "dos_ef_per_ev_fu": 9.23, "cell": [[4.506, -4.967, 0.000], [4.506, 4.967, 0.000], [-1.922, 0.000, 8.820]], "species": ["Tb", "Tb", "Tb", "Tb", "Tb", "Tb", "Sm", "Sm", "Sm", "Sm", "Th", "Th"], "fractional_positions": [[0.072, 0.928, 0.750], [0.179, 0.347, 0.009], [0.347, 0.179, 0.509], [0.653, 0.821, 0.491], [0.821, 0.653, 0.991], [0.928, 0.072, 0.250], [0.124, 0.627, 0.378], [0.373, 0.876, 0.122], [0.627, 0.124, 0.878], [0.876, 0.373, 0.622], [0.398, 0.602, 0.750], [0.602, 0.398, 0.250]]}



{"formula": "Tb2Sm5Th3", "functional": "GGA-PBE", "state": "relaxed", "mass_density_g_cm3": 8.90, "formation_energy_ev_per_atom": 0.05, "crystal_system": "monoclinic", "spacegroup": "No. 12", "dos_ef_per_ev_fu": 13.56, "cell": [[5.694, -2.540, 0.000], [5.694, 2.540, 0.000], [-0.026, 0.000, 11.395]], "species": ["Tb", "Tb", "Sm", "Sm", "Sm", "Sm", "Sm", "Th", "Th", "Th"], "fractional_positions": [[0.098, 0.098, 0.295], [0.902, 0.902, 0.705], [0.199, 0.199, 0.603], [0.301, 0.301, 0.901], [0.500, 0.500, 0.500], [0.699, 0.699, 0.099], [0.801, 0.801, 0.397], [0.000, 0.000, 0.000], [0.402, 0.402, 0.198], [0.598, 0.598, 0.802]]}



{"formula": "TbSm8Th2", "functional": "GGA-PBE", "state": "relaxed", "mass_density_g_cm3": 7.84, "de_polymorph_ev_per_atom": 0.006, "formation_energy_ev_per_atom": 0.20, "crystal_system": "monoclinic", "spacegroup": "No. 12", "dos_ef_per_ev_fu": 18.00, "cell": [[9.614, -3.533, 0.000], [9.614, 3.533, 0.000], [-0.292, 0.000, 5.695]], "species": ["Tb", "Sm", "Sm", "Sm", "Sm", "Sm", "Sm", "Sm", "Sm", "Th", "Th"], "fractional_positions": [[0.000, 0.000, 0.000], [0.138, 0.601, 0.265], [0.184, 0.184, 0.223], [0.399, 0.862, 0.735], [0.452, 0.452, 0.766], [0.548, 0.548, 0.234], [0.601, 0.138, 0.265], [0.816, 0.816, 0.777], [0.862, 0.399, 0.735], [0.281, 0.281, 0.724], [0.719, 0.719, 0.276]]}



{"formula": "Tb2SmTh", "functional": "GGA-PBE", "state": "relaxed", "mass_density_g_cm3": 8.96, "de_polymorph_ev_per_atom": 0.000, "formation_energy_ev_per_atom": -0.01, "crystal_system": "monoclinic", "spacegroup": "No. 12", "dos_ef_per_ev_fu": 5.43, "cell": [[3.122, -1.808, 0.000], [3.122, 1.808, 0.000], [-0.004, 0.000, 11.496]], "species": ["Tb", "Tb", "Sm", "Th"], "fractional_positions": [[0.166, 0.166, 0.244], [0.834, 0.834, 0.756], [0.500, 0.500, 0.500], [0.500, 0.500, 0.000]]}



{"formula": "Tb9Sm2Th", "functional": "GGA-PBE", "state": "relaxed", "mass_density_g_cm3": 8.43, "formation_energy_ev_per_atom": 0.02, "crystal_system": "tetragonal", "spacegroup": "No. 123", "dos_ef_per_ev_fu": 17.00, "cell": [[5.053, 0.000, 0.000], [0.000, 5.053, 0.000], [0.000, 0.000, 15.153]], "species": ["Tb", "Tb", "Tb", "Tb", "Tb", "Tb", "Tb", "Tb", "Tb", "Sm", "Sm", "Th"], "fractional_positions": [[0.000, 0.000, 0.000], [0.000, 0.000, 0.334], [0.000, 0.000, 0.666], [0.000, 0.500, 0.164], [0.000, 0.500, 0.500], [0.000, 0.500, 0.836], [0.500, 0.000, 0.164], [0.500, 0.000, 0.500], [0.500, 0.000, 0.836], [0.500, 0.500, 0.333], [0.500, 0.500, 0.667], [0.500, 0.500, 0.000]]}



{"formula": "Tb2Sm2Th15", "functional": "GGA-PBE", "state": "relaxed", "mass_density_g_cm3": 10.39, "formation_energy_ev_per_atom": 0.28, "crystal_system": "trigonal", "spacegroup": "No. 166", "dos_ef_per_ev_fu": 37.63, "cell": [[5.752, 3.321, 5.716], [-5.752, 3.321, 5.716], [0.000, -6.642, 5.716]], "species": ["Tb", "Tb", "Sm", "Sm", "Th", "Th", "Th", "Th", "Th", "Th", "Th", "Th", "Th", "Th", "Th", "Th", "Th", "Th", "Th"], "fractional_positions": [[0.101, 0.101, 0.101], [0.899, 0.899, 0.899], [0.342, 0.342, 0.342], [0.658, 0.658, 0.658], [0.000, 0.000, 0.500], [0.000, 0.306, 0.694], [0.000, 0.500, 0.000], [0.000, 0.694, 0.306], [0.177, 0.656, 0.656], [0.306, 0.000, 0.694], [0.306, 0.694, 0.000], [0.344, 0.344, 0.823], [0.344, 0.823, 0.344], [0.500, 0.000, 0.000], [0.656, 0.177, 0.656], [0.656, 0.656, 0.177], [0.694, 0.000, 0.306], [0.694, 0.306, 0.000], [0.823, 0.344, 0.344]]}